Sm2Al6Ni | GGA-PBE | optimized geometry

The space group is Fm-3m (No. 225) and the conventional cell measures 8.793, 8.793 and 8.793 Å, with angles of 90.00, 90.00 and 90.00 degrees. The inequivalent atoms are Sm at (0.250, 0.250, 0.250), Al at (0.000, 0.000, 0.225) and Ni at (0.000, 0.000, 0.500).

The value obtained for the formation energy from the elements is -0.52 eV per atom.

Pr6Te4As | GGA-PBE | optimized geometry

The space group is P4/mnc (No. 128) and the conventional cell measures 8.580, 8.580 and 9.132 Å, with angles of 90.00, 90.00 and 90.00 degrees. The inequivalent atoms are Pr at (0.000, 0.000, 0.189), Pr at (0.137, 0.323, 0.500), Te at (0.146, 0.646, 0.250) and As at (0.000, 0.000, 0.500).

The calculation puts the raw formation energy at -1287 kJ/mol of formula units.

HoEr14Zr | GGA-PBE | optimized geometry

The space group is Amm2 (No. 38) and the conventional cell measures 11.029, 7.132 and 12.349 Å, with angles of 90.00, 90.00 and 90.00 degrees. The inequivalent atoms are Ho at (0.000, 0.000, 0.000), Er at (0.000, 0.249, 0.751), Er at (0.245, 0.000, 0.336), Er at (0.245, 0.246, 0.582), Er at (0.252, 0.000, 0.833), Er at (0.500, 0.000, 0.001), Er at (0.500, 0.000, 0.500), Er at (0.500, 0.250, 0.250) and Zr at (0.000, 0.000, 0.501).

The value obtained for the formation energy from the elements is 0.01 eV per atom.

ReSb3 | GGA-PBE | optimized geometry

The space group is R-3m (No. 166, hexagonal axes) and the conventional cell measures 3.3686, 3.3686 and 28.4601 Å, with angles of 90.00, 90.00 and 120.00 degrees. The inequivalent atoms are Re at (0.0000, 0.0000, 0.0000), Sb at (0.0000, 0.0000, 0.2656) and Sb at (0.0000, 0.0000, 0.5000).

The calculation puts the raw formation energy at 135 kJ/mol of formula units.

La4Y7Ho | GGA-PBE | optimized geometry

The space group is C2/m (No. 12) and the conventional cell measures 12.314, 5.967 and 12.834 Å, with angles of 90.00, 117.85 and 90.00 degrees. The inequivalent atoms are La at (0.089, 0.000, 0.290), La at (0.139, 0.500, 0.776), Y at (0.000, 0.000, 0.000), Y at (0.132, 0.500, 0.485), Y at (0.166, 0.000, 0.632), Y at (0.212, 0.000, 0.920) and Ho at (0.000, 0.500, 0.000).

The value obtained for the formation energy from the elements is 0.28 eV per atom.

Na3PrU2Se6 | GGA-PBE | optimized geometry

The space group is C2/m (No. 12) and the conventional cell measures 7.270, 12.594 and 7.465 Å, with angles of 90.00, 108.98 and 90.00 degrees. The inequivalent atoms are Na at (0.000, 0.000, 0.000), Na at (0.000, 0.336, 0.000), Pr at (0.000, 0.500, 0.500), U at (0.000, 0.167, 0.500), Se at (0.236, 0.000, 0.736) and Se at (0.250, 0.171, 0.265).

The calculation puts the raw formation energy at -1546 kJ/mol of formula units.

Repeat the fourth record exactly.
ReSb3 | GGA-PBE | optimized geometry

The space group is R-3m (No. 166, hexagonal axes) and the conventional cell measures 3.3686, 3.3686 and 28.4601 Å, with angles of 90.00, 90.00 and 120.00 degrees. The inequivalent atoms are Re at (0.0000, 0.0000, 0.0000), Sb at (0.0000, 0.0000, 0.2656) and Sb at (0.0000, 0.0000, 0.5000).

The calculation puts the raw formation energy at 135 kJ/mol of formula units.